{
  "formula": "VP2O7",
  "functional": "GGA+U",
  "state": "relaxed",
  "final_energy_ev_per_atom": -7.166,
  "polymorph_energy_mev_per_atom": 266,
  "cell": [[4.415, 0.000, 0.000], [2.026, 7.945, 0.000], [1.930, 1.833, 7.922]],
  "species": ["V", "V", "P", "P", "P", "P", "O", "O", "O", "O", "O", "O", "O", "O", "O", "O", "O", "O", "O", "O"],
  "frac_coords": [[0.000, 0.000, 0.000], [0.420, 0.546, 0.527], [0.030, 0.973, 0.414], [0.075, 0.440, 0.925], [0.374, 0.112, 0.590], [0.518, 0.461, 0.149], [0.023, 0.268, 0.930], [0.132, 0.792, 0.043], [0.196, 0.025, 0.752], [0.197, 0.118, 0.438], [0.227, 0.799, 0.469], [0.234, 0.548, 0.769], [0.240, 0.421, 0.086], [0.403, 0.560, 0.285], [0.428, 0.291, 0.567], [0.620, 0.028, 0.993], [0.708, 0.984, 0.552], [0.733, 0.559, 0.985], [0.790, 0.544, 0.526], [0.955, 0.035, 0.239]]
}